Material: TiSnAs2
Method: DFT, PBE
State: relaxed

- Total DFT energy (no corrections): -5.663 eV/atom
- Calculated formation energy: -0.364 eV per atom
- Density of states at the Fermi level: 0.374 states/eV per atom
- Space group: No. 166

abc: 3.780 3.780 20.654
angles: 90.00 90.00 120.00
Fractional coordinates of all 12 atoms:
Ti1 0.000 0.000 0.000
Ti2 0.333 0.667 0.667
Ti3 0.667 0.333 0.333
Sn1 0.000 0.000 0.500
Sn2 0.333 0.667 0.167
Sn3 0.667 0.333 0.833
As1 0.000 0.000 0.261
As2 0.000 0.000 0.739
As3 0.333 0.667 0.406
As4 0.333 0.667 0.928
As5 0.667 0.333 0.072
As6 0.667 0.333 0.594